A plane-wave DFT calculation with PBE+U was carried out for a relaxed BaAlNiF2 crystal.

The calculation puts the density of states at the Fermi level at 1.84 states/eV/f.u. The raw total energy comes out at -3.24 eV per atom.

The space group is P4/mmm (No. 123) and the conventional cell measures 3.909, 3.909 and 7.896 Å, with angles of 90.00, 90.00 and 90.00 degrees. Symmetry generates all atoms from Ba at (0.000, 0.000, 0.000), Al at (0.000, 0.000, 0.500), Ni at (0.500, 0.500, 0.000) and F at (0.000, 0.500, 0.500).